[1]
VASP calculation (GGA-PBE) on crystalline Y6Al2Pd at its relaxed geometry.

Unit cell a=4.978 b=9.804 c=9.809 alpha=90.00 beta=90.00 gamma=90.00
Fractional positions:
1 Y 0.500 0.119 0.619
2 Al 0.000 0.291 0.791
3 Al 0.500 0.209 0.291
4 Y 0.500 0.881 0.381
5 Y 0.000 0.619 0.881
6 Y 0.000 0.381 0.119
7 Al 0.500 0.791 0.709
8 Y 0.000 0.693 0.529
9 Pd 0.500 0.500 0.000
10 Y 0.000 0.029 0.193
11 Al 0.000 0.709 0.209
12 Y 0.500 0.529 0.307
13 Y 0.500 0.471 0.693
14 Y 0.000 0.971 0.807
15 Y 0.000 0.307 0.471
16 Pd 0.000 0.000 0.500
17 Y 0.500 0.807 0.029
18 Y 0.500 0.193 0.971

Formation enthalpy at 0 K: -0.3565 eV/atom
Symmetry: P4_2/mnm (136)

[2]
VASP calculation (GGA-PBE) on crystalline TaBe2Bi4 at its relaxed geometry.

Unit cell a=5.608 b=5.608 c=7.383 alpha=67.68 beta=67.68 gamma=90.00
Fractional positions:
1 Ta 0.000 0.000 0.000
2 Be 0.581 0.581 0.838
3 Be 0.419 0.419 0.162
4 Bi 0.000 0.500 0.000
5 Bi 0.500 0.000 0.000
6 Bi 0.225 0.225 0.550
7 Bi 0.775 0.775 0.450

Formation enthalpy at 0 K: 0.7546 eV/atom
Symmetry: I4/mmm (139)

[3]
VASP calculation (GGA-PBE) on crystalline Na2PuHgBi2 at its relaxed geometry.

Unit cell a=4.905 b=7.498 c=9.584 alpha=90.00 beta=90.00 gamma=90.00
Each line ends with the local moment (μB).
Fractional positions:
1 Bi 0.500 0.242 0.358  -0.09
2 Bi 0.000 0.781 0.169  -0.06
3 Na 0.500 0.047 0.040  0.00
4 Na 0.000 0.337 0.163  0.00
5 Pu 0.000 0.983 0.473  5.53
6 Pu 0.000 0.483 0.527  5.53
7 Hg 0.500 0.656 0.321  0.01
8 Na 0.000 0.837 0.837  0.00
9 Bi 0.500 0.742 0.642  -0.09
10 Bi 0.000 0.281 0.831  -0.06
11 Na 0.500 0.547 0.960  0.00
12 Hg 0.500 0.156 0.679  0.01

Formation enthalpy at 0 K: -0.2710 eV/atom
Symmetry: Pmc2_1 (26)

[4]
VASP calculation (GGA-PBE) on crystalline CsGaSe2 at its relaxed geometry.

Unit cell a=7.721 b=7.721 c=7.090 alpha=57.01 beta=57.01 gamma=90.00
Fractional positions:
1 Cs 0.000 0.000 0.000
2 Cs 0.750 0.250 0.500
3 Se 0.375 0.491 0.750
4 Se 0.509 0.125 0.250
5 Ga 0.500 0.500 0.000
6 Se 0.875 0.759 0.750
7 Se 0.241 0.625 0.250
8 Ga 0.250 0.750 0.500

Formation energy (no corrections): -933.3 meV per atom
Symmetry: I-42d (122)

| no. | size of the total moment (μB per formula unit) |
| --- | --- |
| 1 | 0.000 |
| 2 | 0.000 |
| 3 | 5.699 |
| 4 | 0.000 |